[1]
Density functional theory data (PBE) for a relaxed structure of MnCdSi3.

Lattice parameters (Å, degrees): 4.4992 4.4992 4.4992 90.00 90.00 90.00
Positions (direct):
Mn: 0.0000 0.0000 0.0000
Cd: 0.5000 0.5000 0.5000
Si: 0.0000 0.0000 0.5000
Si: 0.0000 0.5000 0.0000
Si: 0.5000 0.0000 0.0000

Values from the calculation:
* energy above the lowest structure with this stoichiometry: 0.00 kJ/mol of atoms
* theoretical density: 4.6 Mg/m³
* electronic total energy: -24.694 eV per cell
* uncorrected formation energy: 0.332 eV/atom



[2]
Density functional theory data (PBE) for a relaxed structure of Pm5YI12.

Lattice parameters (Å, degrees): 7.2885 7.2885 16.6049 90.02 90.02 120.08
Positions (direct):
Pm: 0.0000 0.0000 0.0000
Pm: 0.1668 0.8332 0.5000
Pm: 0.3328 0.6672 0.0000
Pm: 0.6672 0.3328 0.0000
Pm: 0.8332 0.1668 0.5000
Y: 0.5000 0.5000 0.5000
I: 0.9998 0.3329 0.8774
I: 0.0002 0.6671 0.1226
I: 0.1737 0.1737 0.6202
I: 0.1739 0.5000 0.3798
I: 0.3329 0.9998 0.8774
I: 0.3341 0.3341 0.1222
I: 0.5000 0.1739 0.3798
I: 0.5000 0.8261 0.6202
I: 0.6659 0.6659 0.8778
I: 0.6671 0.0002 0.1226
I: 0.8261 0.5000 0.6202
I: 0.8263 0.8263 0.3798

Values from the calculation:
* theoretical density: 5.1 Mg/m³
* electronic total energy: -71.768 eV per cell
* uncorrected formation energy: -1.275 eV/atom



[3]
Density functional theory data (PBE) for a relaxed structure of La2GaCoTe.

Lattice parameters (Å, degrees): 5.3584 5.3584 4.5775 90.00 90.00 90.00
Positions (direct):
La: 0.0000 0.5000 0.0000
La: 0.5000 0.0000 0.0000
Ga: 0.0000 0.0000 0.5000
Co: 0.0000 0.0000 0.0000
Te: 0.5000 0.5000 0.5000

Values from the calculation:
* theoretical density: 6.7 Mg/m³
* electronic total energy: -27.134 eV per cell
* uncorrected formation energy: -0.801 eV/atom